First-principles (PBE) data for TbCe2TmP4 after structural relaxation, as listed in Alexandria.

a b c (Å): 4.0408 6.9787 6.9990
angles (deg): 70.47 90.00 90.00
Last column: nearest neighbours and their distance in Å.
Atoms (fractional coordinates):
Tm1 0.0000 0.5000 0.5000  6 P 2.83
P1 0.0000 0.2534 0.2513  1 Tm 2.83, 2 Tb 2.85, 3 Ce 2.86-2.88
P2 0.0000 0.7466 0.7487  1 Tm 2.83, 2 Tb 2.85, 3 Ce 2.86-2.88
P3 0.5000 0.2553 0.7458  2 Tm 2.83, 1 Tb 2.85, 3 Ce 2.86-2.88
P4 0.5000 0.7447 0.2542  2 Tm 2.83, 1 Tb 2.85, 3 Ce 2.86-2.88
Ce1 0.0000 0.0000 0.0000  6 P 2.88
Ce2 0.5000 0.0000 0.5000  6 P 2.86
Tb1 0.5000 0.5000 0.0000  6 P 2.85

Properties
Crystal system   monoclinic
DFT formation energy   -1.5541 eV/atom
Calculated total energy   -55.042 eV/cell


First-principles (PBE) data for LiWS2N after structural relaxation, as listed in Alexandria.

a b c (Å): 4.3669 4.3669 3.3417
angles (deg): 90.00 90.00 90.00
Last column: nearest neighbours and their distance in Å.
Atoms (fractional coordinates):
S1 0.5000 0.0000 0.0000  2 Li 2.18
S2 0.0000 0.5000 0.0000  2 Li 2.18
N1 0.0000 0.0000 0.5000  2 Li 1.67
Li1 0.0000 0.0000 0.0000  2 N 1.67
W1 0.5000 0.5000 0.5000  8 S 2.75

Properties
Crystal system   tetragonal
Energy above the lowest structure with this stoichiometry   1474 meV per atom
Calculated total energy   -25.372 eV/cell


First-principles (PBE) data for Nd2Er3Tm7 after structural relaxation, as listed in Alexandria.

a b c (Å): 3.4857 6.2743 17.7138
angles (deg): 75.64 90.00 90.00
Last column: nearest neighbours and their distance in Å.
Atoms (fractional coordinates):
Tm1 0.0000 0.0000 0.0000  8 Tm 3.45-3.52, 4 Er 3.59
Tm2 0.5000 0.2430 0.5010  2 Tm 3.06-3.22, 2 Nd 3.38-3.41
Tm3 0.0000 0.5616 0.1622  7 Tm 3.45-3.60, 2 Nd 3.46, 3 Er 3.46-3.72
Tm4 0.5000 0.9387 0.8340  1 Nd 3.46, 8 Tm 3.49-3.60, 3 Er 3.49-3.66
Tm5 0.5000 0.0613 0.1660  1 Nd 3.46, 8 Tm 3.49-3.60, 3 Er 3.49-3.66
Tm6 0.0000 0.4384 0.8378  7 Tm 3.45-3.60, 2 Nd 3.46, 3 Er 3.46-3.72
Tm7 0.5000 0.7570 0.4990  2 Tm 3.06-3.22, 2 Nd 3.38-3.41
Nd1 0.5000 0.6130 0.3257  5 Tm 3.38-3.46, 2 Nd 3.49, 4 Er 3.56-3.64
Nd2 0.5000 0.3870 0.6743  5 Tm 3.38-3.46, 2 Nd 3.49, 4 Er 3.56-3.64
Er1 0.0000 0.1075 0.3431  2 Er 3.49, 7 Tm 3.53-3.72, 4 Nd 3.56-3.64
Er2 0.0000 0.8925 0.6569  2 Er 3.49, 7 Tm 3.53-3.72, 4 Nd 3.56-3.64
Er3 0.5000 0.5000 0.0000  10 Tm 3.46-3.59, 2 Er 3.49

Properties
Crystal system   monoclinic
DFT formation energy   0.0856 eV/atom
Energy above the lowest structure with this stoichiometry   0 meV per atom
Calculated total energy   -53.497 eV/cell


First-principles (PBE) data for CeCd2Ag6 after structural relaxation, as listed in Alexandria.

a b c (Å): 3.0832 8.4745 8.4745
angles (deg): 58.88 79.52 79.52
Last column: nearest neighbours and their distance in Å.
Atoms (fractional coordinates):
Ag1 0.6748 0.0010 0.6494  6 Ag 2.84-3.08, 3 Cd 2.91-3.13
Ag2 0.6748 0.6494 0.0010  6 Ag 2.84-3.08, 3 Cd 2.91-3.13
Ag3 0.5000 0.3331 0.6669  5 Ag 2.78-3.08, 4 Cd 3.01
Ag4 0.3252 0.9990 0.3506  6 Ag 2.84-3.08, 3 Cd 2.91-3.13
Ag5 0.3252 0.3506 0.9990  6 Ag 2.84-3.08, 3 Cd 2.91-3.13
Ag6 0.5000 0.6669 0.3331  5 Ag 2.78-3.08, 4 Cd 3.01
Ce1 0.0000 0.0000 0.0000  2 Ce 3.08, 12 Ag 3.17-3.30
Cd1 0.8492 0.6508 0.6508  10 Ag 2.91-3.13, 2 Cd 3.08
Cd2 0.1508 0.3492 0.3492  10 Ag 2.91-3.13, 2 Cd 3.08

Properties
Crystal system   orthorhombic
DFT formation energy   0.0059 eV/atom
Calculated total energy   -24.818 eV/cell


First-principles (PBE) data for Ru3Au5 after structural relaxation, as listed in Alexandria.

a b c (Å): 7.8851 7.8852 5.1037
angles (deg): 90.00 90.00 120.00
Last column: nearest neighbours and their distance in Å.
Atoms (fractional coordinates):
Au1 0.0000 0.7794 0.7500  5 Ru 2.84-2.98, 6 Au 3.01-3.09
Au2 0.7794 0.7794 0.2500  5 Ru 2.84-2.98, 6 Au 3.01-3.09
Au3 0.6667 0.3333 0.5000  2 Au 2.55, 6 Ru 2.69
Au4 0.0000 0.2206 0.2500  5 Ru 2.84-2.98, 6 Au 3.01-3.09
Au5 0.3333 0.6667 0.5000  2 Au 2.55, 6 Ru 2.69
Au6 0.7794 0.0000 0.7500  5 Ru 2.84-2.98, 6 Au 3.01-3.09
Au7 0.2206 0.2206 0.7500  5 Ru 2.84-2.98, 6 Au 3.01-3.09
Au8 0.6667 0.3333 0.0000  2 Au 2.55, 6 Ru 2.69
Au9 0.2207 0.0000 0.2500  5 Ru 2.84-2.98, 6 Au 3.01-3.09
Au10 0.3333 0.6667 0.0000  2 Au 2.55, 6 Ru 2.69
Ru1 0.4162 0.4162 0.2500  9 Au 2.69-2.98, 2 Ru 2.87
Ru2 0.0000 0.4162 0.7500  9 Au 2.69-2.98, 2 Ru 2.87
Ru3 0.0000 0.5838 0.2500  9 Au 2.69-2.98, 2 Ru 2.87
Ru4 0.5838 0.5838 0.7500  9 Au 2.69-2.98, 2 Ru 2.87
Ru5 0.5838 0.0000 0.2500  9 Au 2.69-2.98, 2 Ru 2.87
Ru6 0.4162 0.0000 0.7500  9 Au 2.69-2.98, 2 Ru 2.87

Properties
Crystal system   hexagonal
DFT formation energy   0.5741 eV/atom
Energy above the lowest structure with this stoichiometry   163 meV per atom
Calculated total energy   -79.243 eV/cell


First-principles (PBE) data for Mg3Ga3Ag after structural relaxation, as listed in Alexandria.

a b c (Å): 7.2268 7.2268 6.6916
angles (deg): 93.73 93.73 118.38
Last column: nearest neighbours and their distance in Å.
Atoms (fractional coordinates):
Ga1 0.1348 0.5320 0.3446  1 Ag 2.61, 2 Mg 2.73-2.92, 1 Ga 2.85
Ga2 0.1241 0.1241 0.8781  1 Mg 2.60, 1 Ga 2.61, 2 Ag 2.63-2.67
Ga3 0.5320 0.1348 0.3446  1 Ag 2.61, 2 Mg 2.73-2.92, 1 Ga 2.85
Ga4 0.4680 0.8652 0.6554  1 Ag 2.61, 2 Mg 2.73-2.92, 1 Ga 2.85
Ga5 0.8759 0.8759 0.1219  1 Mg 2.60, 1 Ga 2.61, 2 Ag 2.63-2.67
Ga6 0.8652 0.4680 0.6554  1 Ag 2.61, 2 Mg 2.73-2.92, 1 Ga 2.85
Mg1 0.5978 0.5978 0.3224  1 Ga 2.60, 2 Ag 2.71-2.87
Mg2 0.8820 0.1180 0.5000  6 Ga 2.73-2.97, 2 Ag 2.85, 1 Mg 2.93
Mg3 0.4022 0.4022 0.6776  1 Ga 2.60, 2 Ag 2.71-2.87
Mg4 0.7784 0.2216 0.0000  6 Ga 2.92-3.17
Mg5 0.1180 0.8820 0.5000  6 Ga 2.73-2.97, 2 Ag 2.85, 1 Mg 2.93
Mg6 0.2216 0.7784 0.0000  6 Ga 2.92-3.17
Ag1 0.2290 0.2290 0.2682  4 Ga 2.61-2.67, 4 Mg 2.71-2.87
Ag2 0.7710 0.7710 0.7318  4 Ga 2.61-2.67, 4 Mg 2.71-2.87

Properties
Crystal system   monoclinic
DFT formation energy   -0.0051 eV/atom
Energy above the lowest structure with this stoichiometry   129 meV per atom
Calculated total energy   -33.503 eV/cell